1.
{
  "formula": "Nd6Sm3Ho",
  "functional": "PBE-GGA",
  "state": "optimized geometry",
  "formation_energy_ev_per_atom": 0.14,
  "relative_energy_mev_per_atom": 0,
  "total_magnetization_mub_per_cell": 0.000,
  "cell": [[-3.2670, 4.0268, -3.9119], [-3.5082, -8.6919, -6.0172], [-5.9082, 3.6617, 8.7033]],
  "species": ["Sm", "Sm", "Nd", "Nd", "Nd", "Sm", "Nd", "Ho", "Nd", "Ho", "Nd", "Nd", "Nd", "Sm", "Nd", "Sm", "Sm", "Nd", "Nd", "Nd"],
  "frac_coords": [[0.9632, 0.7101, 0.9432], [0.9632, 0.0568, 0.2899], [0.3670, 0.5237, 0.9413], [0.5560, 0.6284, 0.7116], [0.1522, 0.7218, 0.2782], [0.4632, 0.2899, 0.0568], [0.0560, 0.7116, 0.6284], [0.1135, 0.1923, 0.8077], [0.8670, 0.4763, 0.0587], [0.6135, 0.8077, 0.1923], [0.3670, 0.0587, 0.4763], [0.3651, 0.9654, 0.0346], [0.6522, 0.2782, 0.7218], [0.0823, 0.3844, 0.6156], [0.5560, 0.2884, 0.3716], [0.4632, 0.9432, 0.7101], [0.5823, 0.6156, 0.3844], [0.8670, 0.9413, 0.5237], [0.8651, 0.0346, 0.9654], [0.0560, 0.3716, 0.2884]]
}

2.
{
  "formula": "Nd16Sm7Ho6",
  "functional": "PBE-GGA",
  "state": "optimized geometry",
  "formation_energy_ev_per_atom": 0.22,
  "total_magnetization_mub_per_cell": 0.000,
  "cell": [[9.8445, 0.0000, 5.6837], [3.2815, 9.2815, 5.6837], [0.0000, 0.0000, 11.3675]],
  "species": ["Nd", "Nd", "Ho", "Nd", "Sm", "Nd", "Nd", "Nd", "Ho", "Sm", "Ho", "Ho", "Nd", "Nd", "Nd", "Sm", "Nd", "Sm", "Nd", "Nd", "Nd", "Nd", "Nd", "Sm", "Sm", "Sm", "Ho", "Ho", "Nd"],
  "frac_coords": [[0.6501, 0.6501, 0.6501], [0.9503, 0.3499, 0.3499], [0.7360, 0.7360, 0.2640], [0.8746, 0.3761, 0.8746], [0.5000, 0.0000, 0.0000], [0.3761, 0.8746, 0.8746], [0.8746, 0.8746, 0.3761], [0.1254, 0.1254, 0.1254], [0.2640, 0.7360, 0.7360], [0.5000, 0.0000, 0.5000], [0.2640, 0.2640, 0.7360], [0.2640, 0.7360, 0.2640], [0.0497, 0.6501, 0.6501], [0.1254, 0.6239, 0.1254], [0.1254, 0.1254, 0.6239], [0.0000, 0.0000, 0.0000], [0.3499, 0.3499, 0.3499], [0.0000, 0.0000, 0.5000], [0.3499, 0.9503, 0.3499], [0.6239, 0.1254, 0.1254], [0.8746, 0.8746, 0.8746], [0.6501, 0.0497, 0.6501], [0.3499, 0.3499, 0.9503], [0.0000, 0.5000, 0.0000], [0.5000, 0.5000, 0.0000], [0.0000, 0.5000, 0.5000], [0.7360, 0.2640, 0.7360], [0.7360, 0.2640, 0.2640], [0.6501, 0.6501, 0.0497]]
}

3.
{
  "formula": "Nd3Sm4Ho8",
  "functional": "PBE-GGA",
  "state": "optimized geometry",
  "formation_energy_ev_per_atom": 0.37,
  "total_magnetization_mub_per_cell": 0.000,
  "cell": [[-2.3207, -4.4209, -4.5839], [9.2968, 0.4174, -0.1000], [0.6877, -3.8999, 8.4222]],
  "species": ["Ho", "Ho", "Sm", "Nd", "Sm", "Sm", "Ho", "Ho", "Nd", "Sm", "Ho", "Ho", "Nd", "Ho", "Ho"],
  "frac_coords": [[0.5000, 0.2554, 0.7446], [0.0071, 0.2661, 0.2661], [0.0000, 0.0000, 0.5000], [0.5000, 0.5000, 0.0000], [0.0000, 0.5000, 0.0000], [0.0000, 0.0000, 0.0000], [0.0000, 0.6398, 0.3602], [0.4698, 0.7327, 0.7327], [0.5000, 0.0000, 0.5000], [0.5000, 0.0000, 0.0000], [0.5000, 0.7446, 0.2554], [0.9929, 0.7339, 0.7339], [0.5000, 0.5000, 0.5000], [0.5302, 0.2673, 0.2673], [0.0000, 0.3602, 0.6398]]
}

4.
{
  "formula": "Nd6Sm2Ho",
  "functional": "PBE-GGA",
  "state": "optimized geometry",
  "formation_energy_ev_per_atom": 0.60,
  "relative_energy_mev_per_atom": 475,
  "total_magnetization_mub_per_cell": 0.000,
  "cell": [[8.2961, 0.0000, 0.0000], [0.0000, 8.2961, 0.0000], [0.0000, 0.0000, 10.5730]],
  "species": ["Nd", "Nd", "Sm", "Nd", "Nd", "Nd", "Sm", "Nd", "Ho", "Ho", "Nd", "Sm", "Nd", "Sm", "Nd", "Nd", "Nd", "Nd"],
  "frac_coords": [[0.7620, 0.2380, 0.8331], [0.7380, 0.7380, 0.6669], [0.0000, 0.0000, 0.6681], [0.7614, 0.2386, 0.5000], [0.2620, 0.2620, 0.6669], [0.7380, 0.7380, 0.3331], [0.5000, 0.5000, 0.8319], [0.2386, 0.7614, 0.5000], [0.5000, 0.5000, 0.5000], [0.0000, 0.0000, 0.0000], [0.7620, 0.2380, 0.1669], [0.5000, 0.5000, 0.1681], [0.2614, 0.2614, 0.0000], [0.0000, 0.0000, 0.3319], [0.2380, 0.7620, 0.1669], [0.7386, 0.7386, 0.0000], [0.2380, 0.7620, 0.8331], [0.2620, 0.2620, 0.3331]]
}

5.
{
  "formula": "Nd5Sm4Ho4",
  "functional": "PBE-GGA",
  "state": "optimized geometry",
  "formation_energy_ev_per_atom": 0.02,
  "total_magnetization_mub_per_cell": 0.000,
  "cell": [[-3.8311, -1.6262, -2.9444], [-4.1879, -7.0657, 4.9378], [-7.5713, 5.3162, 2.5016]],
  "species": ["Sm", "Nd", "Ho", "Ho", "Nd", "Ho", "Sm", "Nd", "Sm", "Sm", "Nd", "Ho", "Nd"],
  "frac_coords": [[0.3840, 0.6926, 0.5395], [0.0000, 0.0000, 0.0000], [0.1547, 0.0775, 0.6132], [0.8453, 0.9225, 0.3868], [0.3071, 0.1532, 0.2327], [0.2321, 0.6132, 0.9225], [0.6160, 0.3074, 0.4605], [0.4602, 0.2327, 0.8468], [0.9235, 0.4605, 0.6926], [0.0765, 0.5395, 0.3074], [0.6929, 0.8468, 0.7673], [0.7679, 0.3868, 0.0775], [0.5397, 0.7673, 0.1532]]
}

6.
{
  "formula": "Nd6SmHo12",
  "functional": "PBE-GGA",
  "state": "optimized geometry",
  "formation_energy_ev_per_atom": 0.12,
  "relative_energy_mev_per_atom": 0,
  "total_magnetization_mub_per_cell": 0.000,
  "cell": [[0.1590, 0.2410, 8.6646], [3.2002, -7.8729, 1.7134], [8.3345, 1.9713, 1.3454]],
  "species": ["Ho", "Nd", "Ho", "Ho", "Ho", "Sm", "Ho", "Ho", "Ho", "Nd", "Nd", "Nd", "Ho", "Ho", "Ho", "Nd", "Nd", "Ho", "Ho"],
  "frac_coords": [[0.4850, 0.4851, 0.8036], [0.7690, 0.7688, 0.1644], [0.8626, 0.8626, 0.5171], [0.5149, 0.1964, 0.5150], [0.8626, 0.5171, 0.8626], [0.0000, 0.0000, 0.0000], [0.4829, 0.1374, 0.1374], [0.8036, 0.4850, 0.4851], [0.1374, 0.4829, 0.1374], [0.7688, 0.1644, 0.7690], [0.2312, 0.8356, 0.2310], [0.2310, 0.2312, 0.8356], [0.1964, 0.5150, 0.5149], [0.4851, 0.8036, 0.4850], [0.5150, 0.5149, 0.1964], [0.1644, 0.7690, 0.7688], [0.8356, 0.2310, 0.2312], [0.1374, 0.1374, 0.4829], [0.5171, 0.8626, 0.8626]]
}

7.
{
  "formula": "Nd3Sm8Ho2",
  "functional": "PBE-GGA",
  "state": "optimized geometry",
  "formation_energy_ev_per_atom": 0.16,
  "relative_energy_mev_per_atom": 0,
  "total_magnetization_mub_per_cell": 0.000,
  "cell": [[-5.0884, 2.6562, 2.3840], [-6.7853, -5.4955, -1.4697], [-0.7980, -2.8385, 8.3491]],
  "species": ["Sm", "Sm", "Sm", "Sm", "Ho", "Nd", "Sm", "Nd", "Ho", "Nd", "Sm", "Sm", "Sm"],
  "frac_coords": [[0.3262, 0.9166, 0.4301], [0.7831, 0.4450, 0.4450], [0.2169, 0.5550, 0.5550], [0.6738, 0.0834, 0.5699], [0.3556, 0.2883, 0.2883], [0.5000, 0.0000, 0.0000], [0.0502, 0.8434, 0.8434], [0.0000, 0.7578, 0.2422], [0.6444, 0.7117, 0.7117], [0.0000, 0.2422, 0.7578], [0.9498, 0.1566, 0.1566], [0.6738, 0.5699, 0.0834], [0.3262, 0.4301, 0.9166]]
}

8.
{
  "formula": "Nd4Sm4Ho",
  "functional": "PBE-GGA",
  "state": "optimized geometry",
  "formation_energy_ev_per_atom": 0.01,
  "total_magnetization_mub_per_cell": 0.000,
  "cell": [[-4.0520, -3.0268, -0.9382], [-0.7552, -5.2688, 6.1580], [-6.6104, 3.4752, 3.2369]],
  "species": ["Sm", "Nd", "Ho", "Sm", "Nd", "Sm", "Nd", "Nd", "Sm"],
  "frac_coords": [[0.9999, 0.6667, 0.3334], [0.3338, 0.3322, 0.0002], [0.0000, 0.0000, 0.0000], [0.0001, 0.3333, 0.6666], [0.6662, 0.6678, 0.9998], [0.6667, 0.3334, 0.3333], [0.6660, 0.0002, 0.6678], [0.3340, 0.9998, 0.3322], [0.3333, 0.6666, 0.6667]]
}

9.
{
  "formula": "Nd3SmHo8",
  "functional": "PBE-GGA",
  "state": "optimized geometry",
  "formation_energy_ev_per_atom": 0.63,
  "total_magnetization_mub_per_cell": 0.001,
  "cell": [[7.5670, -0.4423, -3.5639], [-4.4117, 7.0126, -1.2318], [-0.2781, 0.4423, 8.3597]],
  "species": ["Nd", "Ho", "Ho", "Nd", "Ho", "Sm", "Ho", "Ho", "Nd", "Ho", "Ho", "Ho"],
  "frac_coords": [[0.0000, 0.5000, 0.5000], [0.0000, 0.7573, 0.2525], [0.7488, 0.1223, 0.1223], [0.5000, 0.2500, 0.7500], [0.4952, 0.2427, 0.2427], [0.0000, 0.0000, 0.0000], [0.2512, 0.3735, 0.3735], [0.5048, 0.7475, 0.7475], [0.5000, 0.7500, 0.2500], [0.0000, 0.6265, 0.8777], [0.0000, 0.2525, 0.7573], [0.0000, 0.8777, 0.6265]]
}

10.
{
  "formula": "Nd4SmHo2",
  "functional": "PBE-GGA",
  "state": "optimized geometry",
  "formation_energy_ev_per_atom": 0.12,
  "relative_energy_mev_per_atom": 61,
  "total_magnetization_mub_per_cell": 0.000,
  "cell": [[-0.0557, 6.1084, -1.2339], [-1.2221, -1.3093, -6.4261], [-11.1450, -2.6809, 2.6658]],
  "species": ["Nd", "Sm", "Nd", "Nd", "Nd", "Sm", "Ho", "Nd", "Ho", "Ho", "Nd", "Ho", "Nd", "Nd"],
  "frac_coords": [[0.0254, 0.7500, 0.8582], [0.8451, 0.2500, 0.8410], [0.9746, 0.2500, 0.1418], [0.3531, 0.0062, 0.7142], [0.6469, 0.5062, 0.2858], [0.1549, 0.7500, 0.1590], [0.7098, 0.7500, 0.5708], [0.3531, 0.4938, 0.7142], [0.3978, 0.2500, 0.0029], [0.2902, 0.2500, 0.4292], [0.6469, 0.9938, 0.2858], [0.6022, 0.7500, 0.9971], [0.8508, 0.2500, 0.5525], [0.1492, 0.7500, 0.4475]]
}

11.
{
  "formula": "Nd11Sm4Ho9",
  "functional": "PBE-GGA",
  "state": "optimized geometry",
  "formation_energy_ev_per_atom": 0.06,
  "total_magnetization_mub_per_cell": 0.000,
  "cell": [[-3.5954, -0.2427, -0.8601], [0.0276, -14.8474, 4.0742], [-3.4284, 9.4425, 11.6675]],
  "species": ["Sm", "Nd", "Ho", "Ho", "Ho", "Nd", "Nd", "Sm", "Nd", "Ho", "Ho", "Sm", "Nd", "Ho", "Ho", "Nd", "Nd", "Nd", "Sm", "Ho", "Ho", "Nd", "Nd", "Nd"],
  "frac_coords": [[0.5000, 0.2431, 0.4449], [0.0000, 0.7098, 0.7098], [0.5000, 0.1643, 0.6329], [0.5000, 0.0658, 0.2119], [0.5000, 0.8357, 0.3671], [0.0000, 0.3671, 0.6329], [0.0000, 0.0437, 0.4060], [0.5000, 0.5551, 0.7569], [0.0000, 0.8401, 0.1599], [0.5000, 0.2119, 0.0658], [0.5000, 0.5000, 0.5000], [0.5000, 0.4449, 0.2431], [0.0000, 0.2902, 0.2902], [0.5000, 0.9342, 0.7881], [0.5000, 0.3671, 0.8357], [0.0000, 0.1599, 0.8401], [0.0000, 0.9563, 0.5940], [0.0000, 0.4060, 0.0437], [0.5000, 0.7569, 0.5551], [0.5000, 0.6329, 0.1643], [0.5000, 0.7881, 0.9342], [0.0000, 0.5940, 0.9563], [0.0000, 0.6329, 0.3671], [0.0000, 0.0000, 0.0000]]
}

12.
{
  "formula": "Nd9SmHo2",
  "functional": "PBE-GGA",
  "state": "optimized geometry",
  "formation_energy_ev_per_atom": 0.02,
  "total_magnetization_mub_per_cell": 0.000,
  "cell": [[-1.7877, 4.6203, 1.4431], [-3.5085, -2.2967, 3.0069], [10.0084, 0.1818, 11.8165]],
  "species": ["Nd", "Sm", "Nd", "Nd", "Ho", "Nd", "Nd", "Nd", "Nd", "Nd", "Nd", "Ho"],
  "frac_coords": [[0.5000, 0.5000, 0.0000], [0.0000, 0.0000, 0.0000], [0.5000, 0.0000, 0.8320], [0.0000, 0.5000, 0.8320], [0.0000, 0.0000, 0.6659], [0.0000, 0.5000, 0.1680], [0.5000, 0.0000, 0.1680], [0.5000, 0.5000, 0.6655], [0.5000, 0.5000, 0.3345], [0.5000, 0.0000, 0.5000], [0.0000, 0.5000, 0.5000], [0.0000, 0.0000, 0.3341]]
}

13.
{
  "formula": "Nd5Sm6Ho2",
  "functional": "PBE-GGA",
  "state": "optimized geometry",
  "formation_energy_ev_per_atom": 0.09,
  "total_magnetization_mub_per_cell": 0.000,
  "cell": [[3.6406, 0.0000, 0.0000], [0.0000, 11.7854, 0.0000], [0.0000, 0.0000, 20.8437]],
  "species": ["Sm", "Nd", "Nd", "Nd", "Sm", "Sm", "Sm", "Ho", "Ho", "Sm", "Sm", "Ho", "Sm", "Nd", "Sm", "Ho", "Sm", "Nd", "Nd", "Nd", "Nd", "Nd", "Nd", "Sm", "Sm", "Sm"],
  "frac_coords": [[0.5000, 0.6746, 0.8614], [0.5000, 0.9146, 0.7732], [0.5000, 0.6979, 0.5530], [0.5000, 0.8021, 0.0530], [0.5000, 0.1746, 0.6386], [0.0000, 0.4380, 0.5808], [0.0000, 0.9380, 0.9192], [0.0000, 0.3293, 0.2895], [0.0000, 0.8293, 0.2105], [0.0000, 0.5620, 0.4192], [0.5000, 0.8254, 0.3614], [0.0000, 0.6707, 0.7105], [0.0000, 0.4183, 0.8682], [0.5000, 0.0854, 0.2268], [0.0000, 0.0817, 0.3682], [0.0000, 0.1707, 0.7895], [0.0000, 0.0620, 0.0808], [0.5000, 0.3021, 0.4470], [0.5000, 0.0000, 0.5000], [0.5000, 0.5000, 0.0000], [0.5000, 0.4146, 0.7268], [0.5000, 0.5854, 0.2732], [0.5000, 0.1979, 0.9470], [0.0000, 0.9183, 0.6318], [0.5000, 0.3254, 0.1386], [0.0000, 0.5817, 0.1318]]
}

14.
{
  "formula": "Nd3Sm4Ho4",
  "functional": "PBE-GGA",
  "state": "optimized geometry",
  "formation_energy_ev_per_atom": 0.17,
  "relative_energy_mev_per_atom": 19,
  "total_magnetization_mub_per_cell": 0.000,
  "cell": [[3.5167, 0.0000, -0.6478], [-1.0102, 9.7430, -5.4845], [0.2271, -0.1937, 11.1036]],
  "species": ["Nd", "Sm", "Sm", "Sm", "Nd", "Ho", "Sm", "Ho", "Ho", "Nd", "Ho"],
  "frac_coords": [[0.8995, 0.8995, 0.7990], [0.6684, 0.8984, 0.3368], [0.3316, 0.1016, 0.6632], [0.3316, 0.5616, 0.6632], [0.0000, 0.5000, 0.0000], [0.2379, 0.7379, 0.4758], [0.6684, 0.4384, 0.3368], [0.5000, 0.7855, 0.0000], [0.7621, 0.2621, 0.5242], [0.1005, 0.1005, 0.2010], [0.5000, 0.2145, 0.0000]]
}

15.
{
  "formula": "Nd2Sm8Ho3",
  "functional": "PBE-GGA",
  "state": "optimized geometry",
  "formation_energy_ev_per_atom": 0.22,
  "total_magnetization_mub_per_cell": 0.000,
  "cell": [[5.5987, 0.0000, 0.7888], [0.0002, 7.6943, -0.0016], [-1.4461, -3.8493, 10.2522]],
  "species": ["Ho", "Sm", "Sm", "Sm", "Ho", "Sm", "Ho", "Sm", "Sm", "Sm", "Sm", "Nd", "Nd"],
  "frac_coords": [[0.0000, 0.2860, 0.0000], [0.0001, 0.8706, 0.7411], [0.5001, 0.8117, 0.2086], [0.4999, 0.6029, 0.7915], [0.0000, 0.7140, 0.0000], [0.9998, 0.3331, 0.6664], [0.5000, 0.0000, 0.0000], [0.0002, 0.6669, 0.3336], [0.4999, 0.1883, 0.7914], [0.9999, 0.1294, 0.2589], [0.5001, 0.3971, 0.2085], [0.4997, 0.2406, 0.4808], [0.5003, 0.7594, 0.5192]]
}

16.
{
  "formula": "Nd7SmHo5",
  "functional": "PBE-GGA",
  "state": "optimized geometry",
  "formation_energy_ev_per_atom": 0.22,
  "total_magnetization_mub_per_cell": 0.000,
  "cell": [[-2.0570, 1.1087, 6.3183], [-5.0999, -6.5449, 3.0794], [5.4836, -3.5129, 5.9930]],
  "species": ["Ho", "Ho", "Ho", "Nd", "Sm", "Nd", "Nd", "Nd", "Nd", "Ho", "Ho", "Nd", "Nd"],
  "frac_coords": [[0.4649, 0.0007, 0.5390], [0.7304, 0.7696, 0.7696], [0.4649, 0.5390, 0.0007], [0.9788, 0.6943, 0.3481], [0.0405, 0.9595, 0.9595], [0.9788, 0.3481, 0.6943], [0.4824, 0.8456, 0.1896], [0.4234, 0.5766, 0.5766], [0.4824, 0.1896, 0.8456], [0.9954, 0.0007, 0.5390], [0.9954, 0.5390, 0.0007], [0.2308, 0.2692, 0.2692], [0.7317, 0.2683, 0.2683]]
}

17.
{
  "formula": "Nd6SmHo12",
  "functional": "PBE-GGA",
  "state": "optimized geometry",
  "formation_energy_ev_per_atom": 0.21,
  "relative_energy_mev_per_atom": 96,
  "total_magnetization_mub_per_cell": 0.000,
  "cell": [[8.6575, -0.1541, -1.1903], [-1.3441, 8.5539, -1.1903], [-0.1341, -0.1541, 8.7379]],
  "species": ["Nd", "Ho", "Ho", "Ho", "Sm", "Ho", "Nd", "Ho", "Ho", "Ho", "Nd", "Ho", "Nd", "Ho", "Ho", "Nd", "Nd", "Ho", "Ho"],
  "frac_coords": [[0.6552, 0.0984, 0.0984], [0.5000, 0.2435, 0.7565], [0.3556, 0.0814, 0.3556], [0.0814, 0.3556, 0.3556], [0.0000, 0.0000, 0.0000], [0.2435, 0.7565, 0.5000], [0.3448, 0.9016, 0.9016], [0.9186, 0.6444, 0.6444], [0.7565, 0.2435, 0.5000], [0.3556, 0.3556, 0.0814], [0.0984, 0.6552, 0.0984], [0.2435, 0.5000, 0.7565], [0.9016, 0.9016, 0.3448], [0.7565, 0.5000, 0.2435], [0.6444, 0.6444, 0.9186], [0.9016, 0.3448, 0.9016], [0.0984, 0.0984, 0.6552], [0.6444, 0.9186, 0.6444], [0.5000, 0.7565, 0.2435]]
}